[1]
VASP calculation (GGA-PBE) on crystalline YNpTl2S4 at its relaxed geometry.

abc: 7.022 4.059 7.876
angles: 90.00 107.38 90.00
Fractional coordinates of all 8 atoms:
Y1 0.000 0.000 0.000
Np1 0.500 0.500 0.000
Tl1 0.000 0.500 0.500
Tl2 0.500 0.000 0.500
S1 0.231 0.500 0.198
S2 0.269 0.000 0.805
S3 0.731 0.000 0.195
S4 0.769 0.500 0.802

Output
**Formation energy from raw total energies**: -9.958 eV/f.u.
**Space group**: P2/m, No. 10

***

[2]
VASP calculation (GGA-PBE) on crystalline Zr2NpTl3S6 at its relaxed geometry.

abc: 6.558 6.558 8.394
angles: 97.67 97.67 120.08
Fractional coordinates of all 12 atoms:
Zr1 0.167 0.833 0.000
Zr2 0.833 0.167 0.000
Np1 0.500 0.500 0.000
Tl1 0.000 0.000 0.500
Tl2 0.337 0.663 0.500
Tl3 0.663 0.337 0.500
S1 0.089 0.436 0.814
S2 0.216 0.216 0.185
S3 0.436 0.089 0.814
S4 0.564 0.911 0.186
S5 0.784 0.784 0.815
S6 0.911 0.564 0.186

Output
**Formation energy from raw total energies**: -12.963 eV/f.u.
**Space group**: C2/m, No. 12

***

[3]
VASP calculation (GGA-PBE) on crystalline ZrNp2Tl2S6 at its relaxed geometry.

abc: 6.779 6.779 7.937
angles: 98.27 98.27 119.77
Fractional coordinates of all 11 atoms:
Zr1 0.000 0.000 0.000
Np1 0.334 0.666 0.000
Np2 0.666 0.334 0.000
Tl1 0.168 0.832 0.500
Tl2 0.832 0.168 0.500
S1 0.065 0.385 0.192
S2 0.253 0.253 0.806
S3 0.385 0.065 0.192
S4 0.615 0.935 0.808
S5 0.747 0.747 0.194
S6 0.935 0.615 0.808

Output
**Formation energy from raw total energies**: -12.879 eV/f.u.
**Space group**: C2/m, No. 12